Below is NiPO4 after structural relaxation, with properties calculated at the PBE with a Hubbard U level.

Structure (CIF):
```
data_NiPO4
_chemical_formula_sum 'Ni4 P4 O16'
_symmetry_space_group_name_H-M 'P 1'
_symmetry_Int_Tables_number 1
_cell_length_a 10.174
_cell_length_b 5.019
_cell_length_c 7.039
_cell_angle_alpha 90.00
_cell_angle_beta 90.00
_cell_angle_gamma 90.00
loop_
_symmetry_equiv_pos_as_xyz
'x,y,z'
loop_
_atom_site_label
_atom_site_type_symbol
_atom_site_fract_x
_atom_site_fract_y
_atom_site_fract_z
Ni1 Ni 0.152 0.183 0.000
Ni2 Ni 0.348 0.683 0.500
Ni3 Ni 0.652 0.317 0.000
Ni4 Ni 0.848 0.817 0.500
P1 P 0.096 0.680 0.747
P2 P 0.404 0.180 0.247
P3 P 0.596 0.820 0.747
P4 P 0.904 0.320 0.247
O1 O 0.050 0.256 0.209
O2 O 0.113 0.378 0.784
O3 O 0.141 0.828 0.928
O4 O 0.176 0.761 0.569
O5 O 0.324 0.261 0.069
O6 O 0.359 0.328 0.428
O7 O 0.387 0.878 0.284
O8 O 0.450 0.756 0.709
O9 O 0.550 0.244 0.209
O10 O 0.613 0.122 0.784
O11 O 0.641 0.672 0.928
O12 O 0.676 0.739 0.569
O13 O 0.824 0.239 0.069
O14 O 0.859 0.172 0.428
O15 O 0.887 0.622 0.284
O16 O 0.950 0.744 0.709
```

Energy: -147.9 eV/cell